(a)
# CuPbSe2N PBE-GGA relaxed
data_CuPbSe2N
_cell_length_a 5.219
_cell_length_b 5.219
_cell_length_c 3.681
_cell_angle_alpha 90.00
_cell_angle_beta 90.00
_cell_angle_gamma 90.00
_space_group_name_H-M_alt 'P 1'
_space_group_IT_number 1
loop_
_space_group_symop_operation_xyz
'x,y,z'
loop_
_atom_site_label
_atom_site_type_symbol
_atom_site_fract_x
_atom_site_fract_y
_atom_site_fract_z
Pb1 Pb 0.500 0.500 0.500
Cu1 Cu 0.000 0.000 0.000
Se1 Se 0.000 0.500 0.000
Se2 Se 0.500 0.000 0.000
N1 N 0.000 0.000 0.500
# **Space-group type**: No. 123

***

(b)
# CuPbSe2N PBE-GGA relaxed
data_CuPbSe2N
_cell_length_a 5.497
_cell_length_b 5.497
_cell_length_c 4.316
_cell_angle_alpha 90.00
_cell_angle_beta 90.00
_cell_angle_gamma 90.00
_space_group_name_H-M_alt 'P 1'
_space_group_IT_number 1
loop_
_space_group_symop_operation_xyz
'x,y,z'
loop_
_atom_site_label
_atom_site_type_symbol
_atom_site_fract_x
_atom_site_fract_y
_atom_site_fract_z
Pb1 Pb 0.000 0.000 0.000
Cu1 Cu 0.500 0.500 0.500
Se1 Se 0.000 0.500 0.000
Se2 Se 0.500 0.000 0.000
N1 N 0.000 0.000 0.500
# **Space-group type**: No. 123

***

Most stable: (a). Least stable: (b).

***

(a)
# CuTe2PbN PBE-GGA relaxed
data_CuTe2PbN
_cell_length_a 5.551
_cell_length_b 5.551
_cell_length_c 3.647
_cell_angle_alpha 90.00
_cell_angle_beta 90.00
_cell_angle_gamma 90.00
_space_group_name_H-M_alt 'P 1'
_space_group_IT_number 1
loop_
_space_group_symop_operation_xyz
'x,y,z'
loop_
_atom_site_label
_atom_site_type_symbol
_atom_site_fract_x
_atom_site_fract_y
_atom_site_fract_z
Pb1 Pb 0.500 0.500 0.500
Te1 Te 0.000 0.500 0.000
Te2 Te 0.500 0.000 0.000
Cu1 Cu 0.000 0.000 0.000
N1 N 0.000 0.000 0.500
# **Space-group type**: No. 123

***

(b)
# CuTe2PbN PBE-GGA relaxed
data_CuTe2PbN
_cell_length_a 5.872
_cell_length_b 5.872
_cell_length_c 4.168
_cell_angle_alpha 90.00
_cell_angle_beta 90.00
_cell_angle_gamma 90.00
_space_group_name_H-M_alt 'P 1'
_space_group_IT_number 1
loop_
_space_group_symop_operation_xyz
'x,y,z'
loop_
_atom_site_label
_atom_site_type_symbol
_atom_site_fract_x
_atom_site_fract_y
_atom_site_fract_z
Pb1 Pb 0.000 0.000 0.000
Te1 Te 0.000 0.500 0.000
Te2 Te 0.500 0.000 0.000
Cu1 Cu 0.500 0.500 0.500
N1 N 0.000 0.000 0.500
# **Space-group type**: No. 123

***

Most stable: (a). Least stable: (b).

***

(a)
# CuPdS2N PBE-GGA relaxed
data_CuPdS2N
_cell_length_a 4.672
_cell_length_b 4.672
_cell_length_c 3.555
_cell_angle_alpha 90.00
_cell_angle_beta 90.00
_cell_angle_gamma 90.00
_space_group_name_H-M_alt 'P 1'
_space_group_IT_number 1
loop_
_space_group_symop_operation_xyz
'x,y,z'
loop_
_atom_site_label
_atom_site_type_symbol
_atom_site_fract_x
_atom_site_fract_y
_atom_site_fract_z
S1 S 0.000 0.500 0.000
S2 S 0.500 0.000 0.000
Cu1 Cu 0.000 0.000 0.000
Pd1 Pd 0.500 0.500 0.500
N1 N 0.000 0.000 0.500
# **Space-group type**: No. 123

***

(b)
# CuPdS2N PBE-GGA relaxed
data_CuPdS2N
_cell_length_a 4.892
_cell_length_b 4.892
_cell_length_c 3.671
_cell_angle_alpha 90.00
_cell_angle_beta 90.00
_cell_angle_gamma 90.00
_space_group_name_H-M_alt 'P 1'
_space_group_IT_number 1
loop_
_space_group_symop_operation_xyz
'x,y,z'
loop_
_atom_site_label
_atom_site_type_symbol
_atom_site_fract_x
_atom_site_fract_y
_atom_site_fract_z
S1 S 0.000 0.500 0.000
S2 S 0.500 0.000 0.000
Cu1 Cu 0.500 0.500 0.500
Pd1 Pd 0.000 0.000 0.000
N1 N 0.000 0.000 0.500
# **Space-group type**: No. 123

***

Most stable: (a). Least stable: (b).

***

(a)
# CuPdSe2N PBE-GGA relaxed
data_CuPdSe2N
_cell_length_a 4.958
_cell_length_b 4.958
_cell_length_c 3.493
_cell_angle_alpha 90.00
_cell_angle_beta 90.00
_cell_angle_gamma 90.00
_space_group_name_H-M_alt 'P 1'
_space_group_IT_number 1
loop_
_space_group_symop_operation_xyz
'x,y,z'
loop_
_atom_site_label
_atom_site_type_symbol
_atom_site_fract_x
_atom_site_fract_y
_atom_site_fract_z
Cu1 Cu 0.000 0.000 0.000
Se1 Se 0.000 0.500 0.000
Se2 Se 0.500 0.000 0.000
Pd1 Pd 0.500 0.500 0.500
N1 N 0.000 0.000 0.500
# **Space-group type**: No. 123

***

(b)
# CuPdSe2N PBE-GGA relaxed
data_CuPdSe2N
_cell_length_a 5.159
_cell_length_b 5.159
_cell_length_c 3.658
_cell_angle_alpha 90.00
_cell_angle_beta 90.00
_cell_angle_gamma 90.00
_space_group_name_H-M_alt 'P 1'
_space_group_IT_number 1
loop_
_space_group_symop_operation_xyz
'x,y,z'
loop_
_atom_site_label
_atom_site_type_symbol
_atom_site_fract_x
_atom_site_fract_y
_atom_site_fract_z
Cu1 Cu 0.500 0.500 0.500
Se1 Se 0.000 0.500 0.000
Se2 Se 0.500 0.000 0.000
Pd1 Pd 0.000 0.000 0.000
N1 N 0.000 0.000 0.500
# **Space-group type**: No. 123

***

Most stable: (a). Least stable: (b).